DFT (PBE-GGA) results for NaBiPd after structural relaxation. Values from VASP.

Density ... 7.72 g/cm³
Total DFT energy (no corrections) ... -0.1382 Ha/atom

Cell and atoms, written as Quantum ESPRESSO input:
```
&SYSTEM
  ibrav = 0, nat = 3, ntyp = 3
/
ATOMIC_SPECIES
Bi 208.98 Bi.upf
Na 22.99 Na.upf
Pd 106.42 Pd.upf
CELL_PARAMETERS angstrom
0.0000 3.3132 3.3132
3.3132 0.0000 3.3132
3.3132 3.3132 0.0000
ATOMIC_POSITIONS crystal
Bi 0.2500 0.2500 0.2500
Na 0.7500 0.7500 0.7500
Pd 0.0000 0.0000 0.0000
```